(1)
Below is a relaxed structure of NaGa2Au5, with properties calculated at the GGA-PBE level.

Output
Calculated volume ... 161.0 Å³/f.u.
Electronic total energy ... -3.17 eV/atom
Magnetic moment ... 0.00 μB/cell
Energy of formation from the pure elements ... -1.59 eV per formula unit

```
data_NaGa2Au5
_chemical_formula_sum 'Na2 Ga4 Au10'
_symmetry_space_group_name_H-M 'C 1 2/m 1'
_symmetry_Int_Tables_number 12
_cell_length_a 11.844
_cell_length_b 6.815
_cell_length_c 4.139
_cell_angle_alpha 90.00
_cell_angle_beta 105.38
_cell_angle_gamma 90.00
loop_
_symmetry_equiv_pos_as_xyz
'x,y,z'
'-x,-y,-z'
'-x,y,-z'
'x,-y,z'
'x+1/2,y+1/2,z'
'-x+1/2,-y+1/2,-z'
'-x+1/2,y+1/2,-z'
'x+1/2,-y+1/2,z'
loop_
_atom_site_label
_atom_site_fract_x
_atom_site_fract_y
_atom_site_fract_z
Na1 0.000 0.000 0.000
Ga1 0.232 0.500 0.183
Au1 0.000 0.500 0.000
Au2 0.131 0.283 0.604
```

***

(2)
Below is a relaxed structure of Na2GaAu2, with properties calculated at the GGA-PBE level.

Output
Calculated volume ... 113.8 Å³/f.u.
ΔE to the lowest computed polymorph ... 0.0 meV/atom
Electronic total energy ... -2.76 eV/atom
Magnetic moment ... 0.00 μB/cell
Energy of formation from the pure elements ... -1.56 eV per formula unit

```
data_Na2GaAu2
_chemical_formula_sum 'Na4 Ga2 Au4'
_symmetry_space_group_name_H-M 'I m m m'
_symmetry_Int_Tables_number 71
_symmetry_space_group_name_Hall '-I 2 2'
_cell_length_a 4.106
_cell_length_b 5.934
_cell_length_c 9.343
_cell_angle_alpha 90.00
_cell_angle_beta 90.00
_cell_angle_gamma 90.00
loop_
_atom_site_label
_atom_site_fract_x
_atom_site_fract_y
_atom_site_fract_z
Na1 0.000 0.000 0.202
Ga1 0.000 0.500 0.000
Au1 0.000 0.265 0.500
```

***

(3)
Below is a relaxed structure of NaGa12Au4, with properties calculated at the GGA-PBE level.

Output
Calculated volume ... 369.8 Å³/f.u.
Electronic total energy ... -3.08 eV/atom
Magnetic moment ... 0.00 μB/cell
Energy of formation from the pure elements ... -1.53 eV per formula unit

```
data_NaGa12Au4
_chemical_formula_sum 'Na2 Ga24 Au8'
_symmetry_space_group_name_H-M 'I m -3'
_symmetry_Int_Tables_number 204
_symmetry_space_group_name_Hall '-I 2 2 3'
_cell_length_a 9.043
_cell_length_b 9.043
_cell_length_c 9.043
_cell_angle_alpha 90.00
_cell_angle_beta 90.00
_cell_angle_gamma 90.00
loop_
_atom_site_label
_atom_site_fract_x
_atom_site_fract_y
_atom_site_fract_z
Na1 0.000 0.000 0.000
Ga1 0.000 0.147 0.353
Au1 0.250 0.250 0.250
```

***

(4)
Below is a relaxed structure of Na2Ga2Au, with properties calculated at the GGA-PBE level.

Output
Calculated volume ... 109.1 Å³/f.u.
ΔE to the lowest computed polymorph ... 335.5 meV/atom
Electronic total energy ... -2.28 eV/atom
Magnetic moment ... 0.00 μB/cell
Energy of formation from the pure elements ... 0.57 eV per formula unit

```
data_Na2Ga2Au
_chemical_formula_sum 'Na4 Ga4 Au2'
_symmetry_space_group_name_H-M 'I 4/m m m'
_symmetry_Int_Tables_number 139
_symmetry_space_group_name_Hall '-I 4 2'
_cell_length_a 3.915
_cell_length_b 3.915
_cell_length_c 14.242
_cell_angle_alpha 90.00
_cell_angle_beta 90.00
_cell_angle_gamma 90.00
loop_
_atom_site_label
_atom_site_fract_x
_atom_site_fract_y
_atom_site_fract_z
Na1 0.000 0.500 0.250
Ga1 0.000 0.000 0.087
Au1 0.000 0.000 0.500
```